[1]
A relaxed NdZn2Si2 crystal. Source: OQMD via LeMat-Bulk, functional GGA-PBE.

Structure (CIF):
```
data_NdZn2Si2
_chemical_formula_sum 'Nd1 Zn2 Si2'
_space_group_name_H-M_alt 'P 1'
_space_group_IT_number 1
_cell_length_a 6.1147
_cell_length_b 6.1147
_cell_length_c 6.1147
_cell_angle_alpha 140.66
_cell_angle_beta 140.66
_cell_angle_gamma 56.85
loop_
_space_group_symop_operation_xyz
'x,y,z'
loop_
_atom_site_label
_atom_site_type_symbol
_atom_site_fract_x
_atom_site_fract_y
_atom_site_fract_z
_atom_site_occupancy
Si1 Si 0.3885 0.3885 0.0000 1
Si2 Si 0.6115 0.6115 0.0000 1
Zn1 Zn 0.7500 0.2500 0.5000 1
Zn2 Zn 0.2500 0.7500 0.5000 1
Nd1 Nd 0.0000 0.0000 0.0000 1
```

Total energy (eV/atom): -4.02


[2]
A relaxed Nd2ZnSi3 crystal. Source: OQMD via LeMat-Bulk, functional GGA-PBE.

Structure (CIF):
```
data_Nd2ZnSi3
_chemical_formula_sum 'Nd2 Zn1 Si3'
_space_group_name_H-M_alt 'P 1'
_space_group_IT_number 1
_cell_length_a 4.1638
_cell_length_b 4.2268
_cell_length_c 7.0406
_cell_angle_alpha 90.00
_cell_angle_beta 90.00
_cell_angle_gamma 90.00
loop_
_space_group_symop_operation_xyz
'x,y,z'
loop_
_atom_site_label
_atom_site_type_symbol
_atom_site_fract_x
_atom_site_fract_y
_atom_site_fract_z
_atom_site_occupancy
Zn1 Zn 0.0000 0.0000 0.6696 1
Si1 Si 0.5000 0.0000 0.1670 1
Nd1 Nd 0.0000 0.5000 0.0062 1
Si2 Si 0.5000 0.0000 0.8331 1
Si3 Si 0.0000 0.0000 0.3312 1
Nd2 Nd 0.5000 0.5000 0.4929 1
```

Total energy (eV/atom): -5.18


[3]
A relaxed Nd2ZrSi2 crystal. Source: OQMD via LeMat-Bulk, functional GGA-PBE.

Structure (CIF):
```
data_Nd2ZrSi2
_chemical_formula_sum 'Nd4 Zr2 Si4'
_space_group_name_H-M_alt 'P 1'
_space_group_IT_number 1
_cell_length_a 7.4026
_cell_length_b 7.4026
_cell_length_c 4.3424
_cell_angle_alpha 90.00
_cell_angle_beta 90.00
_cell_angle_gamma 90.00
loop_
_space_group_symop_operation_xyz
'x,y,z'
loop_
_atom_site_label
_atom_site_type_symbol
_atom_site_fract_x
_atom_site_fract_y
_atom_site_fract_z
_atom_site_occupancy
Zr1 Zr 0.0000 0.0000 0.0000 1
Si1 Si 0.8789 0.3789 0.0000 1
Nd1 Nd 0.8224 0.6776 0.5000 1
Si2 Si 0.1211 0.6211 0.0000 1
Zr2 Zr 0.5000 0.5000 0.0000 1
Nd2 Nd 0.6776 0.1776 0.5000 1
Si3 Si 0.3789 0.1211 0.0000 1
Nd3 Nd 0.3224 0.8224 0.5000 1
Nd4 Nd 0.1776 0.3224 0.5000 1
Si4 Si 0.6211 0.8789 0.0000 1
```

Total energy (eV/atom): -6.41


[4]
A relaxed NdZrSi2 crystal. Source: OQMD via LeMat-Bulk, functional GGA-PBE.

Structure (CIF):
```
data_NdZrSi2
_chemical_formula_sum 'Nd2 Zr2 Si4'
_space_group_name_H-M_alt 'P 1'
_space_group_IT_number 1
_cell_length_a 3.8332
_cell_length_b 7.7572
_cell_length_c 5.5649
_cell_angle_alpha 90.00
_cell_angle_beta 90.00
_cell_angle_gamma 90.00
loop_
_space_group_symop_operation_xyz
'x,y,z'
loop_
_atom_site_label
_atom_site_type_symbol
_atom_site_fract_x
_atom_site_fract_y
_atom_site_fract_z
_atom_site_occupancy
Si1 Si 0.0000 0.6907 0.3656 1
Si2 Si 0.5000 0.7652 0.6327 1
Si3 Si 0.5000 0.3093 0.8656 1
Si4 Si 0.0000 0.2348 0.1327 1
Nd1 Nd 0.0000 0.0731 0.6210 1
Nd2 Nd 0.5000 0.9269 0.1210 1
Zr1 Zr 0.0000 0.5645 0.8807 1
Zr2 Zr 0.5000 0.4355 0.3807 1
```

Offset from the most stable computed form (meV per atom): 0


[5]
A relaxed NdZr2Si2 crystal. Source: OQMD via LeMat-Bulk, functional GGA-PBE.

Structure (CIF):
```
data_NdZr2Si2
_chemical_formula_sum 'Nd2 Zr4 Si4'
_space_group_name_H-M_alt 'P 1'
_space_group_IT_number 1
_cell_length_a 7.5246
_cell_length_b 7.5246
_cell_length_c 3.6177
_cell_angle_alpha 90.00
_cell_angle_beta 90.00
_cell_angle_gamma 90.00
loop_
_space_group_symop_operation_xyz
'x,y,z'
loop_
_atom_site_label
_atom_site_type_symbol
_atom_site_fract_x
_atom_site_fract_y
_atom_site_fract_z
_atom_site_occupancy
Nd1 Nd 0.5000 0.5000 0.0000 1
Zr1 Zr 0.1720 0.3280 0.5000 1
Zr2 Zr 0.3280 0.8280 0.5000 1
Si1 Si 0.1166 0.6166 0.0000 1
Si2 Si 0.3834 0.1166 0.0000 1
Nd2 Nd 0.0000 0.0000 0.0000 1
Si3 Si 0.6166 0.8834 0.0000 1
Zr3 Zr 0.8280 0.6720 0.5000 1
Zr4 Zr 0.6720 0.1720 0.5000 1
Si4 Si 0.8834 0.3834 0.0000 1
```

Total energy (eV/atom): -7.21


[6]
A relaxed NdZrSi2 crystal. Source: OQMD via LeMat-Bulk, functional GGA-PBE.

Structure (CIF):
```
data_NdZrSi2
_chemical_formula_sum 'Nd2 Zr2 Si4'
_space_group_name_H-M_alt 'P 1'
_space_group_IT_number 1
_cell_length_a 3.8356
_cell_length_b 5.6733
_cell_length_c 7.6556
_cell_angle_alpha 90.00
_cell_angle_beta 90.00
_cell_angle_gamma 90.00
loop_
_space_group_symop_operation_xyz
'x,y,z'
loop_
_atom_site_label
_atom_site_type_symbol
_atom_site_fract_x
_atom_site_fract_y
_atom_site_fract_z
_atom_site_occupancy
Si1 Si 0.5000 0.1374 0.9652 1
Si2 Si 0.0000 0.6087 0.5394 1
Nd1 Nd 0.0000 0.8721 0.1774 1
Nd2 Nd 0.0000 0.1279 0.6774 1
Si3 Si 0.5000 0.8626 0.4652 1
Si4 Si 0.0000 0.3913 0.0394 1
Zr1 Zr 0.5000 0.3746 0.3180 1
Zr2 Zr 0.5000 0.6254 0.8180 1
```

Offset from the most stable computed form (meV per atom): 60


[7]
A relaxed NdZrSi2 crystal. Source: OQMD via LeMat-Bulk, functional GGA-PBE.

Structure (CIF):
```
data_NdZrSi2
_chemical_formula_sum 'Nd2 Zr2 Si4'
_space_group_name_H-M_alt 'P 1'
_space_group_IT_number 1
_cell_length_a 5.6637
_cell_length_b 3.8528
_cell_length_c 7.6227
_cell_angle_alpha 90.00
_cell_angle_beta 92.29
_cell_angle_gamma 90.00
loop_
_space_group_symop_operation_xyz
'x,y,z'
loop_
_atom_site_label
_atom_site_type_symbol
_atom_site_fract_x
_atom_site_fract_y
_atom_site_fract_z
_atom_site_occupancy
Si1 Si 0.8572 0.7500 0.5291 1
Si2 Si 0.3743 0.2500 0.9535 1
Zr1 Zr 0.3851 0.7500 0.6752 1
Nd1 Nd 0.1249 0.7500 0.1813 1
Nd2 Nd 0.8751 0.2500 0.8187 1
Si3 Si 0.1428 0.2500 0.4709 1
Zr2 Zr 0.6149 0.2500 0.3248 1
Si4 Si 0.6257 0.7500 0.0465 1
```

Offset from the most stable computed form (meV per atom): 53


[8]
A relaxed NdZr3Si4 crystal. Source: OQMD via LeMat-Bulk, functional GGA-PBE.

Structure (CIF):
```
data_NdZr3Si4
_chemical_formula_sum 'Nd1 Zr3 Si4'
_space_group_name_H-M_alt 'P 1'
_space_group_IT_number 1
_cell_length_a 5.4803
_cell_length_b 3.8199
_cell_length_c 7.3501
_cell_angle_alpha 90.00
_cell_angle_beta 91.14
_cell_angle_gamma 90.00
loop_
_space_group_symop_operation_xyz
'x,y,z'
loop_
_atom_site_label
_atom_site_type_symbol
_atom_site_fract_x
_atom_site_fract_y
_atom_site_fract_z
_atom_site_occupancy
Si1 Si 0.1347 0.5000 0.0326 1
Zr1 Zr 0.3743 0.0000 0.8157 1
Si2 Si 0.6337 0.0000 0.4754 1
Zr2 Zr 0.8816 0.5000 0.6776 1
Si3 Si 0.3574 0.5000 0.5469 1
Nd1 Nd 0.6255 0.5000 0.1774 1
Zr3 Zr 0.1218 0.0000 0.3283 1
Si4 Si 0.8710 0.0000 0.9462 1
```

Total energy (eV/atom): -7.33


[9]
A relaxed NdSm2Sn7 crystal. Source: OQMD via LeMat-Bulk, functional GGA-PBE.

Structure (CIF):
```
data_NdSm2Sn7
_chemical_formula_sum 'Nd1 Sm2 Sn7'
_space_group_name_H-M_alt 'P 1'
_space_group_IT_number 1
_cell_length_a 13.6744
_cell_length_b 13.6744
_cell_length_c 4.5124
_cell_angle_alpha 90.00
_cell_angle_beta 90.00
_cell_angle_gamma 161.26
loop_
_space_group_symop_operation_xyz
'x,y,z'
loop_
_atom_site_label
_atom_site_type_symbol
_atom_site_fract_x
_atom_site_fract_y
_atom_site_fract_z
_atom_site_occupancy
Sm1 Sm 0.3119 0.6881 0.5000 1
Sn1 Sn 0.5000 0.5000 0.5000 1
Sn2 Sn 0.2126 0.7874 0.0000 1
Nd1 Nd 0.0000 0.0000 0.0000 1
Sn3 Sn 0.0958 0.9042 0.5000 1
Sn4 Sn 0.9042 0.0958 0.5000 1
Sm2 Sm 0.6881 0.3119 0.5000 1
Sn5 Sn 0.5964 0.4036 0.0000 1
Sn6 Sn 0.4036 0.5964 0.0000 1
Sn7 Sn 0.7874 0.2126 0.0000 1
```

Total energy (eV/atom): -4.81


[10]
A relaxed NdSmTa3 crystal. Source: OQMD via LeMat-Bulk, functional GGA-PBE.

Structure (CIF):
```
data_NdSmTa3
_chemical_formula_sum 'Nd2 Sm2 Ta6'
_space_group_name_H-M_alt 'P 1'
_space_group_IT_number 1
_cell_length_a 5.8312
_cell_length_b 7.1133
_cell_length_c 7.1133
_cell_angle_alpha 60.06
_cell_angle_beta 90.00
_cell_angle_gamma 90.00
loop_
_space_group_symop_operation_xyz
'x,y,z'
loop_
_atom_site_label
_atom_site_type_symbol
_atom_site_fract_x
_atom_site_fract_y
_atom_site_fract_z
_atom_site_occupancy
Nd1 Nd 0.0000 0.0000 0.0000 1
Ta1 Ta 0.7500 0.4612 0.6623 1
Nd2 Nd 0.5000 0.0000 0.0000 1
Sm1 Sm 0.5000 0.3332 0.3332 1
Ta2 Ta 0.7500 0.6622 0.8766 1
Ta3 Ta 0.7500 0.8762 0.4615 1
Ta4 Ta 0.2500 0.4615 0.8762 1
Sm2 Sm 0.0000 0.3332 0.3332 1
Ta5 Ta 0.2500 0.8766 0.6622 1
Ta6 Ta 0.2500 0.6623 0.4612 1
```

ΔH_f (0 K) (eV/atom): 0.841


[11]
A relaxed TbNdSm crystal. Source: OQMD via LeMat-Bulk, functional GGA-PBE.

Structure (CIF):
```
data_TbNdSm
_chemical_formula_sum 'Tb1 Nd1 Sm1'
_space_group_name_H-M_alt 'P 1'
_space_group_IT_number 1
_cell_length_a 5.5281
_cell_length_b 5.5281
_cell_length_c 5.5281
_cell_angle_alpha 60.00
_cell_angle_beta 60.00
_cell_angle_gamma 60.00
loop_
_space_group_symop_operation_xyz
'x,y,z'
loop_
_atom_site_label
_atom_site_type_symbol
_atom_site_fract_x
_atom_site_fract_y
_atom_site_fract_z
_atom_site_occupancy
Tb1 Tb 0.7500 0.7500 0.7500 1
Nd1 Nd 0.2500 0.2500 0.2500 1
Sm1 Sm 0.0000 0.0000 0.0000 1
```

ΔH_f (0 K) (eV/atom): 0.721


[12]
A relaxed NdSmTe4 crystal. Source: OQMD via LeMat-Bulk, functional GGA-PBE.

Structure (CIF):
```
data_NdSmTe4
_chemical_formula_sum 'Nd1 Sm1 Te4'
_space_group_name_H-M_alt 'P 1'
_space_group_IT_number 1
_cell_length_a 4.4962
_cell_length_b 4.4962
_cell_length_c 9.1143
_cell_angle_alpha 90.00
_cell_angle_beta 90.00
_cell_angle_gamma 90.00
loop_
_space_group_symop_operation_xyz
'x,y,z'
loop_
_atom_site_label
_atom_site_type_symbol
_atom_site_fract_x
_atom_site_fract_y
_atom_site_fract_z
_atom_site_occupancy
Sm1 Sm 0.0000 0.0000 0.2713 1
Te1 Te 0.0000 0.5000 0.0018 1
Te2 Te 0.0000 0.0000 0.6281 1
Te3 Te 0.5000 0.5000 0.3681 1
Nd1 Nd 0.5000 0.5000 0.7289 1
Te4 Te 0.5000 0.0000 0.0018 1
```

Total energy (eV/atom): -4.92


Please write out number 9 again, unchanged.
A relaxed NdSm2Sn7 crystal. Source: OQMD via LeMat-Bulk, functional GGA-PBE.

Structure (CIF):
```
data_NdSm2Sn7
_chemical_formula_sum 'Nd1 Sm2 Sn7'
_space_group_name_H-M_alt 'P 1'
_space_group_IT_number 1
_cell_length_a 13.6744
_cell_length_b 13.6744
_cell_length_c 4.5124
_cell_angle_alpha 90.00
_cell_angle_beta 90.00
_cell_angle_gamma 161.26
loop_
_space_group_symop_operation_xyz
'x,y,z'
loop_
_atom_site_label
_atom_site_type_symbol
_atom_site_fract_x
_atom_site_fract_y
_atom_site_fract_z
_atom_site_occupancy
Sm1 Sm 0.3119 0.6881 0.5000 1
Sn1 Sn 0.5000 0.5000 0.5000 1
Sn2 Sn 0.2126 0.7874 0.0000 1
Nd1 Nd 0.0000 0.0000 0.0000 1
Sn3 Sn 0.0958 0.9042 0.5000 1
Sn4 Sn 0.9042 0.0958 0.5000 1
Sm2 Sm 0.6881 0.3119 0.5000 1
Sn5 Sn 0.5964 0.4036 0.0000 1
Sn6 Sn 0.4036 0.5964 0.0000 1
Sn7 Sn 0.7874 0.2126 0.0000 1
```

Total energy (eV/atom): -4.81


Copy entry 3 word for word.
A relaxed Nd2ZrSi2 crystal. Source: OQMD via LeMat-Bulk, functional GGA-PBE.

Structure (CIF):
```
data_Nd2ZrSi2
_chemical_formula_sum 'Nd4 Zr2 Si4'
_space_group_name_H-M_alt 'P 1'
_space_group_IT_number 1
_cell_length_a 7.4026
_cell_length_b 7.4026
_cell_length_c 4.3424
_cell_angle_alpha 90.00
_cell_angle_beta 90.00
_cell_angle_gamma 90.00
loop_
_space_group_symop_operation_xyz
'x,y,z'
loop_
_atom_site_label
_atom_site_type_symbol
_atom_site_fract_x
_atom_site_fract_y
_atom_site_fract_z
_atom_site_occupancy
Zr1 Zr 0.0000 0.0000 0.0000 1
Si1 Si 0.8789 0.3789 0.0000 1
Nd1 Nd 0.8224 0.6776 0.5000 1
Si2 Si 0.1211 0.6211 0.0000 1
Zr2 Zr 0.5000 0.5000 0.0000 1
Nd2 Nd 0.6776 0.1776 0.5000 1
Si3 Si 0.3789 0.1211 0.0000 1
Nd3 Nd 0.3224 0.8224 0.5000 1
Nd4 Nd 0.1776 0.3224 0.5000 1
Si4 Si 0.6211 0.8789 0.0000 1
```

Total energy (eV/atom): -6.41